1.
Entry from Alexandria via LeMat-Bulk: a PBEsol-optimized structure of K3Ir (meta-GGA SCAN).

Output
The calculation puts the energy above the most stable polymorph in this dataset at 240 meV per atom. The density comes out at 2.79 g cm⁻³. The volume is 46.08 A^3/atom. The density of states at the Fermi level comes out at 3.451 states/eV/cell.

Cell lengths 4.1651, 4.1651, 12.2696 Å; angles 90.00, 90.00, 120.00 degrees
Space group P-6m2 (No. 187)
Symmetry-distinct sites (fractional):
K1 0.0000 0.0000 0.0000 x1
K2 0.3333 0.6667 0.3366 x2
Ir1 0.0000 0.0000 0.5000 x1

***

2.
Entry from Alexandria via LeMat-Bulk: a PBEsol-optimized structure of LiCa3Te (meta-GGA SCAN).

Output
As for the formation energy from raw total energies: -0.083 eV per atom. The density comes out at 2.49 g cm⁻³. The volume is 34.03 A^3/atom. The density of states at the Fermi level comes out at 3.479 states/eV/cell.

Cell lengths 5.541, 5.541, 5.541 Å; angles 90.00, 90.00, 90.00 degrees
Space group Pm-3m (No. 221)
Symmetry-distinct sites (fractional):
Li1 0.000 0.000 0.000 x1
Ca1 0.000 0.000 0.500 x3
Te1 0.500 0.500 0.500 x1